The following is a DFT calculation (GGA-PBE) of VGeI2 after structural relaxation.

Geometry as extended XYZ:
```
4
Lattice="-4.504 -0.501 -2.649 -4.343 2.386 1.733 -1.970 4.096 -2.626" Properties=species:S:1:pos:R:3 pbc="T T T"
I -2.704 1.495 -0.885
I -8.113 4.486 -2.656
V 0.000 0.000 0.000
Ge -5.409 2.991 -1.771
```

Total energy = -3.643 eV/atom
Magnetization = 3.72 μB/cell
ΔE to the lowest computed polymorph = 139 meV per atom
ΔE_f (raw) = 55 kJ/mol of atoms